TiSnSb at its PBEsol-relaxed geometry, computed with SCAN.

Total DFT energy (no corrections) (eV per atom): -30.09
Symmetry: Fddd, No. 70
Density (g/cm3): 7.57
Formation energy from raw total energies (meV per atom): -355

Cell and atoms, written as extended XYZ:
```
12
Lattice="5.430 0.000 0.000 2.715 4.832 0.000 2.715 0.000 9.642" Properties=species:S:1:pos:R:3 pbc="T T T"
Ti 6.787 2.416 7.256
Ti 2.715 0.000 7.208
Ti 6.787 2.416 2.386
Ti 5.430 0.000 2.435
Sb 4.072 2.416 6.322
Sb 2.715 0.000 1.501
Sb 5.430 0.000 8.142
Sb 4.072 2.416 3.321
Sn 5.430 1.621 0.000
Sn 6.787 4.037 4.821
Sn 6.787 0.795 4.821
Sn 2.715 3.211 0.000
```

Ti3SnSb at its PBEsol-relaxed geometry, computed with SCAN.

Total DFT energy (no corrections) (eV per atom): -23.61
Symmetry: Pm-3m, No. 221
Density (g/cm3): 5.20
Formation energy from raw total energies (meV per atom): 647

Cell and atoms, written as extended XYZ:
```
5
Lattice="-4.632 1.794 -0.175 -0.682 -2.193 -4.408 -1.668 -4.084 2.290" Properties=species:S:1:pos:R:3 pbc="T T T"
Sn 0.000 0.000 0.000
Ti -0.834 -2.042 1.145
Ti -2.316 0.897 -0.088
Ti -0.341 -1.096 -2.204
Sb -3.491 -2.241 -1.147
```

TiSnSb2 at its PBEsol-relaxed geometry, computed with SCAN.

Total DFT energy (no corrections) (eV per atom): -31.48
Symmetry: I-42d, No. 122
Density (g/cm3): 5.11
Formation energy from raw total energies (meV per atom): 143

Cell and atoms, written as extended XYZ:
```
8
Lattice="6.416 0.000 0.000 0.000 6.416 0.000 -3.208 -3.208 6.478" Properties=species:S:1:pos:R:3 pbc="T T T"
Ti 3.208 3.208 0.000
Ti 3.208 0.000 3.239
Sb 4.580 1.604 1.619
Sb -1.604 -1.373 4.858
Sb 1.604 1.373 4.858
Sb 1.835 4.812 1.619
Sn 0.000 3.208 3.239
Sn 0.000 0.000 0.000
```

TlSn2Sb2 at its PBEsol-relaxed geometry, computed with SCAN.

Total DFT energy (no corrections) (eV per atom): -43.63
Symmetry: P4/mbm, No. 127
Density (g/cm3): 8.12
Formation energy from raw total energies (meV per atom): 119

Cell and atoms, written as extended XYZ:
```
10
Lattice="-0.244 -0.103 -3.862 -4.069 -7.462 0.455 -7.457 4.088 0.362" Properties=species:S:1:pos:R:3 pbc="T T T"
Tl -5.763 -1.687 0.408
Tl 0.000 0.000 0.000
Sb -7.799 0.852 0.469
Sb -3.726 -4.226 0.347
Sb -8.295 -3.722 0.622
Sb -3.231 0.348 0.195
Sn -5.543 1.497 -1.630
Sn -9.115 -1.391 -1.328
Sn -2.654 -2.085 -1.717
Sn -6.226 -4.974 -1.415
```

YTlSnSb2 at its PBEsol-relaxed geometry, computed with SCAN.

Total DFT energy (no corrections) (eV per atom): -41.57
Symmetry: P4/mmm, No. 123
Density (g/cm3): 6.32
Formation energy from raw total energies (meV per atom): 555

Cell and atoms, written as extended XYZ:
```
5
Lattice="-5.220 0.800 -1.596 1.455 -0.955 -5.236 -1.062 -5.512 0.711" Properties=species:S:1:pos:R:3 pbc="T T T"
Sn -2.414 -2.833 -3.061
Y -0.531 -2.756 0.355
Sb -2.610 0.400 -0.798
Sb 0.727 -0.478 -2.618
Tl 0.000 0.000 0.000
```

Zr2TlSnSb at its PBEsol-relaxed geometry, computed with SCAN.

Total DFT energy (no corrections) (eV per atom): -40.48
Symmetry: P4/mmm, No. 123
Density (g/cm3): 6.82
Formation energy from raw total energies (meV per atom): 912

Cell and atoms, written as extended XYZ:
```
5
Lattice="5.258 0.000 0.000 0.000 5.389 0.000 0.000 0.000 5.389" Properties=species:S:1:pos:R:3 pbc="T T T"
Zr 0.000 0.000 2.695
Zr 0.000 2.695 0.000
Tl 0.000 0.000 0.000
Sn 2.629 0.000 0.000
Sb 2.629 2.695 2.695
```

ZnSnSb3 at its PBEsol-relaxed geometry, computed with SCAN.

Total DFT energy (no corrections) (eV per atom): -31.23
Symmetry: Pm-3m, No. 221
Density (g/cm3): 5.22
Formation energy from raw total energies (meV per atom): 1013

Cell and atoms, written as extended XYZ:
```
5
Lattice="5.591 0.000 0.000 0.000 5.591 0.000 0.000 0.000 5.591" Properties=species:S:1:pos:R:3 pbc="T T T"
Sn 0.000 0.000 0.000
Sb 2.796 0.000 0.000
Sb 0.000 2.796 0.000
Sb 0.000 0.000 2.796
Zn 2.796 2.796 2.796
```

Sr5Sb at its PBEsol-relaxed geometry, computed with SCAN.

Total DFT energy (no corrections) (eV per atom): -25.08
Symmetry: Cmmm, No. 65
Density (g/cm3): 3.74
Formation energy from raw total energies (meV per atom): -303

Cell and atoms, written as extended XYZ:
```
6
Lattice="5.017 0.000 0.000 0.000 5.688 0.000 -2.509 0.000 8.718" Properties=species:S:1:pos:R:3 pbc="T T T"
Sr 2.509 2.844 2.901
Sr 0.000 2.844 5.817
Sr 0.000 2.844 0.000
Sr 2.509 0.000 6.184
Sr 0.000 0.000 2.534
Sb 2.509 0.000 0.000
```

Sr2Sb at its PBEsol-relaxed geometry, computed with SCAN.

Total DFT energy (no corrections) (eV per atom): -28.23
Symmetry: I4/mmm, No. 139
Density (g/cm3): 4.55
Formation energy from raw total energies (meV per atom): -959

Cell and atoms, written as extended XYZ:
```
6
Lattice="-1.930 0.949 -4.467 -4.182 -2.316 1.315 -0.206 8.292 4.603" Properties=species:S:1:pos:R:3 pbc="T T T"
Sr -0.965 0.475 -2.234
Sr -2.091 -1.158 0.657
Sr -2.100 4.898 1.948
Sr -4.219 2.028 -0.497
Sb -0.878 2.048 0.815
Sb -5.440 4.878 0.636
```

Sr3Sb2 at its PBEsol-relaxed geometry, computed with SCAN.

Total DFT energy (no corrections) (eV per atom): -29.40
Symmetry: P-3m1, No. 164
Density (g/cm3): 4.52
Formation energy from raw total energies (meV per atom): -1129

Cell and atoms, written as extended XYZ:
```
5
Lattice="5.535 0.000 0.000 -2.767 4.793 0.000 0.000 0.000 7.016" Properties=species:S:1:pos:R:3 pbc="T T T"
Sb 2.767 1.598 1.473
Sb 0.000 3.196 5.543
Sr 0.000 3.196 2.192
Sr 0.000 0.000 0.000
Sr 2.767 1.598 4.823
```

Sr2Sb at its PBEsol-relaxed geometry, computed with SCAN.

Total DFT energy (no corrections) (eV per atom): -28.19
Symmetry: Cmcm, No. 63
Density (g/cm3): 4.39
Formation energy from raw total energies (meV per atom): -916

Cell and atoms, written as extended XYZ:
```
6
Lattice="4.719 0.000 0.000 -2.360 6.631 0.000 0.000 0.000 7.178" Properties=species:S:1:pos:R:3 pbc="T T T"
Sb 0.000 1.552 6.978
Sb 2.360 5.078 3.389
Sr 2.360 3.877 6.980
Sr 0.000 6.629 5.183
Sr 0.000 2.754 3.391
Sr 2.360 0.001 1.594
```

Sr11Sb10 at its PBEsol-relaxed geometry, computed with SCAN.

Total DFT energy (no corrections) (eV per atom): -30.50
Symmetry: I4/mmm, No. 139
Density (g/cm3): 5.21
Formation energy from raw total energies (meV per atom): -1089

Cell and atoms, written as extended XYZ:
```
42
Lattice="-4.731 -6.951 -9.118 6.367 -5.531 9.349 -6.121 -6.810 8.367" Properties=species:S:1:pos:R:3 pbc="T T T"
Sb -4.956 -13.086 4.111
Sb -1.873 -10.380 12.416
Sb -1.292 -10.440 5.098
Sb -2.612 -8.912 -3.818
Sb -6.739 -8.546 -0.466
Sb 0.688 -7.531 8.914
Sb -3.953 -4.398 5.403
Sb -3.853 -13.289 8.600
Sb -2.168 -2.412 2.964
Sb -5.594 -6.863 1.741
Sb -5.258 -6.897 -2.492
Sb -4.113 -5.215 -0.285
Sb -0.632 -6.003 -0.002
Sb 0.470 -6.206 4.487
Sb -0.075 -11.125 0.084
Sb -3.055 -4.489 -5.889
Sb -4.410 -8.167 8.514
Sb -3.194 -8.853 3.500
Sb -5.174 -11.762 -0.316
Sb -1.676 -2.462 -3.230
Sr -5.885 -6.834 5.396
Sr -2.571 -13.517 11.639
Sr -5.617 -15.464 6.267
Sr -1.914 -5.775 -3.041
Sr 1.132 -3.828 2.331
Sr 0.155 -8.619 2.292
Sr -4.640 -10.673 6.306
Sr -1.914 -7.217 6.495
Sr -5.534 -10.365 -3.291
Sr -3.167 -8.672 -0.182
Sr -2.108 -13.564 5.805
Sr 1.049 -8.927 11.889
Sr -4.967 -6.927 -6.147
Sr -9.008 -11.422 -0.624
Sr -5.998 -10.318 2.542
Sr -1.844 -2.338 -0.128
Sr -6.994 -14.132 1.768
Sr 1.513 -8.974 6.056
Sr -2.571 -12.075 2.103
Sr 2.509 -5.160 6.830
Sr -2.378 -5.728 2.793
Sr -1.318 -10.620 8.780
```

SrTa2Sb at its PBEsol-relaxed geometry, computed with SCAN.

Total DFT energy (no corrections) (eV per atom): -47.87
Symmetry: Cm, No. 8
Density (g/cm3): 9.52
Formation energy from raw total energies (meV per atom): 307

Cell and atoms, written as extended XYZ:
```
4
Lattice="-1.535 2.252 1.820 -3.187 -2.942 -1.998 1.236 -3.703 5.623" Properties=species:S:1:pos:R:3 pbc="T T T"
Ta -3.435 -4.005 5.008
Ta -1.023 -3.743 3.769
Sb -0.162 -1.026 4.083
Sr -2.503 -0.737 1.752
```

SrTaSb2 at its PBEsol-relaxed geometry, computed with SCAN.

Energy above the lowest structure with this stoichiometry (eV per atom): 0.026
Total DFT energy (no corrections) (eV per atom): -40.63
Symmetry: P4/mmm, No. 123
Density (g/cm3): 8.81
Formation energy from raw total energies (meV per atom): 218

Cell and atoms, written as extended XYZ:
```
4
Lattice="-0.685 -3.504 -1.094 4.605 -0.235 -2.132 1.934 -1.742 4.371" Properties=species:S:1:pos:R:3 pbc="T T T"
Sb 0.000 0.000 0.000
Sb 3.270 -0.989 1.119
Ta 0.625 -2.623 1.639
Sr 1.960 -1.869 -1.613
```

SrTa2Sb at its PBEsol-relaxed geometry, computed with SCAN.

Total DFT energy (no corrections) (eV per atom): -47.46
Symmetry: C2/m, No. 12
Density (g/cm3): 10.85
Formation energy from raw total energies (meV per atom): 714

Cell and atoms, written as extended XYZ:
```
4
Lattice="3.038 -0.008 0.000 -0.180 5.450 0.000 -1.429 -2.721 5.279" Properties=species:S:1:pos:R:3 pbc="T T T"
Sr 1.519 -0.004 0.000
Ta 0.714 1.361 2.640
Ta -0.714 -1.361 2.640
Sb -0.090 2.725 0.000
```

SrTaSb3 at its PBEsol-relaxed geometry, computed with SCAN.

Total DFT energy (no corrections) (eV per atom): -40.26
Symmetry: Pm-3m, No. 221
Density (g/cm3): 6.81
Formation energy from raw total energies (meV per atom): -135

Cell and atoms, written as extended XYZ:
```
5
Lattice="5.366 0.000 0.000 0.000 5.366 0.000 0.000 0.000 5.366" Properties=species:S:1:pos:R:3 pbc="T T T"
Sb 0.000 0.000 2.683
Sb 2.683 0.000 0.000
Sb 0.000 2.683 0.000
Ta 0.000 0.000 0.000
Sr 2.683 2.683 2.683
```

SrTa2Sb at its PBEsol-relaxed geometry, computed with SCAN.

Total DFT energy (no corrections) (eV per atom): -47.57
Symmetry: F-43m, No. 216
Density (g/cm3): 11.03
Formation energy from raw total energies (meV per atom): 607

Cell and atoms, written as extended XYZ:
```
4
Lattice="4.954 0.000 0.000 2.477 4.290 0.000 2.477 1.430 4.045" Properties=species:S:1:pos:R:3 pbc="T T T"
Ta 0.000 0.000 0.000
Ta 7.431 4.290 3.034
Sb 4.954 2.860 2.022
Sr 2.477 1.430 1.011
```

SrTaSb4 at its PBEsol-relaxed geometry, computed with SCAN.

Total DFT energy (no corrections) (eV per atom): -39.13
Symmetry: F-43m, No. 216
Density (g/cm3): 7.63
Formation energy from raw total energies (meV per atom): 522

Cell and atoms, written as extended XYZ:
```
6
Lattice="-2.207 -4.769 3.197 -2.191 -4.932 -2.952 3.108 -5.306 0.149" Properties=species:S:1:pos:R:3 pbc="T T T"
Ta 0.000 0.000 0.000
Sb -0.808 -9.395 0.247
Sb 0.297 -6.908 1.736
Sb -2.375 -6.719 0.172
Sb 0.306 -6.990 -1.365
Sr -0.322 -3.751 0.099
```

SrTaSb2 at its PBEsol-relaxed geometry, computed with SCAN.

Energy above the lowest structure with this stoichiometry (eV per atom): 0.000
Total DFT energy (no corrections) (eV per atom): -40.65
Symmetry: Cmmm, No. 65
Density (g/cm3): 8.84
Formation energy from raw total energies (meV per atom): 192

Cell and atoms, written as extended XYZ:
```
4
Lattice="3.727 0.000 0.000 0.000 5.117 0.007 0.000 -0.880 5.040" Properties=species:S:1:pos:R:3 pbc="T T T"
Sb 0.000 2.558 0.004
Sb 0.000 -0.440 2.520
Sr 1.864 0.000 0.000
Ta 1.864 2.119 2.524
```

SrTa2Sb at its PBEsol-relaxed geometry, computed with SCAN.

Total DFT energy (no corrections) (eV per atom): -47.50
Symmetry: P4/mmm, No. 123
Density (g/cm3): 10.80
Formation energy from raw total energies (meV per atom): 679

Cell and atoms, written as extended XYZ:
```
4
Lattice="-1.904 2.059 3.186 -3.136 -2.861 -0.025 2.451 -2.716 3.220" Properties=species:S:1:pos:R:3 pbc="T T T"
Ta -1.568 -1.430 -0.013
Ta -0.952 1.030 1.593
Sr 1.226 -1.358 1.610
Sb -1.294 -1.758 3.191
```